# 1
Entry from Alexandria: a PBEsol-optimized structure of TaBe3 (meta-GGA SCAN).

Structure (CIF):
```
data_TaBe3
_chemical_formula_sum 'Ta3 Be9'
_space_group_name_H-M_alt 'R -3 m'
_space_group_IT_number 166
_space_group_name_Hall '-R 3 2"'
_cell_length_a 8.1097
_cell_length_b 8.1097
_cell_length_c 2.4373
_cell_angle_alpha 90.00
_cell_angle_beta 90.00
_cell_angle_gamma 120.00
loop_
_atom_site_label
_atom_site_fract_x
_atom_site_fract_y
_atom_site_fract_z
Ta1 0.0000 0.0000 0.0000
Be1 0.0000 0.5000 0.0000
```

Values from the calculation:
energy of formation = 0.211 eV per atom
total magnetic moment = 0.00 μB/f.u.
DOS(E_F) = 1.74 states/eV per cell

---

# 2
Entry from Alexandria: a PBEsol-optimized structure of ZnP2Ru (meta-GGA SCAN).

Structure (CIF):
```
data_ZnP2Ru
_chemical_formula_sum 'Zn2 P4 Ru2'
_space_group_name_H-M_alt 'I -4 m 2'
_space_group_IT_number 119
_space_group_name_Hall 'I -4 -2'
_cell_length_a 3.6718
_cell_length_b 3.6718
_cell_length_c 7.8397
_cell_angle_alpha 90.00
_cell_angle_beta 90.00
_cell_angle_gamma 90.00
loop_
_atom_site_label
_atom_site_fract_x
_atom_site_fract_y
_atom_site_fract_z
Zn1 0.0000 0.0000 0.0000
P1 0.0000 0.0000 0.5000
P2 0.0000 0.5000 0.2500
Ru1 0.0000 0.5000 0.7500
```

Values from the calculation:
energy of formation = 0.320 eV per atom
total magnetic moment = 0.00 μB/f.u.
DOS(E_F) = 3.06 states/eV per cell

---

# 3
Entry from Alexandria: a PBEsol-optimized structure of CdCo2Se (meta-GGA SCAN).

Structure (CIF):
```
data_CdCo2Se
_chemical_formula_sum 'Cd1 Co2 Se1'
_space_group_name_H-M_alt 'P 1 2/m 1'
_space_group_IT_number 10
_cell_length_a 4.1706
_cell_length_b 3.0111
_cell_length_c 5.0488
_cell_angle_alpha 90.00
_cell_angle_beta 114.31
_cell_angle_gamma 90.00
loop_
_space_group_symop_operation_xyz
'x,y,z'
'-x,-y,-z'
'-x,y,-z'
'x,-y,z'
loop_
_atom_site_label
_atom_site_fract_x
_atom_site_fract_y
_atom_site_fract_z
Cd1 0.0000 0.0000 0.0000
Co1 0.5000 0.0000 0.5000
Co2 0.5000 0.5000 0.0000
Se1 0.0000 0.5000 0.5000
```

Values from the calculation:
total magnetic moment = 2.17 μB/f.u.
energy relative to the elements, uncorrected = 0.395 eV/atom
DOS(E_F) = 1.87 states/eV per cell

---

# 4
Entry from Alexandria: a PBEsol-optimized structure of Li2ZnPt (meta-GGA SCAN).

Structure (CIF):
```
data_Li2ZnPt
_chemical_formula_sum 'Li4 Zn2 Pt2'
_space_group_name_H-M_alt 'I m m m'
_space_group_IT_number 71
_space_group_name_Hall '-I 2 2'
_cell_length_a 2.8796
_cell_length_b 4.2830
_cell_length_c 8.7585
_cell_angle_alpha 90.00
_cell_angle_beta 90.00
_cell_angle_gamma 90.00
loop_
_atom_site_label
_atom_site_fract_x
_atom_site_fract_y
_atom_site_fract_z
Li1 0.0000 0.0000 0.2469
Zn1 0.0000 0.5000 0.0000
Pt1 0.0000 0.5000 0.5000
```

Values from the calculation:
energy of formation = -0.549 eV per atom
total magnetic moment = 0.00 μB/f.u.
DOS(E_F) = 2.07 states/eV per cell

---

# 5
Entry from Alexandria: a PBEsol-optimized structure of TcAgIrW2 (meta-GGA SCAN).

Structure (CIF):
```
data_TcAgIrW2
_chemical_formula_sum 'Tc1 Ag1 Ir1 W2'
_space_group_name_H-M_alt 'P 4/m m m'
_space_group_IT_number 123
_space_group_name_Hall '-P 4 2'
_cell_length_a 4.6636
_cell_length_b 4.6636
_cell_length_c 4.7991
_cell_angle_alpha 90.00
_cell_angle_beta 90.00
_cell_angle_gamma 90.00
loop_
_atom_site_label
_atom_site_fract_x
_atom_site_fract_y
_atom_site_fract_z
Tc1 0.0000 0.0000 0.0000
Ag1 0.5000 0.5000 0.0000
Ir1 0.5000 0.5000 0.5000
W1 0.0000 0.5000 0.5000
```

Values from the calculation:
energy of formation = 2.086 eV per atom
total magnetic moment = 1.57 μB/f.u.
DOS(E_F) = 4.03 states/eV per cell

---

# 6
Entry from Alexandria: a PBEsol-optimized structure of Li2MnO2F (meta-GGA SCAN).

Structure (CIF):
```
data_Li2MnO2F
_chemical_formula_sum 'Li8 Mn4 O8 F4'
_space_group_name_H-M_alt 'C 1 2 1'
_space_group_IT_number 5
_cell_length_a 5.1410
_cell_length_b 8.5477
_cell_length_c 5.1183
_cell_angle_alpha 90.00
_cell_angle_beta 112.57
_cell_angle_gamma 90.00
loop_
_space_group_symop_operation_xyz
'x,y,z'
'-x,y,-z'
'x+1/2,y+1/2,z'
'-x+1/2,y+1/2,-z'
loop_
_atom_site_label
_atom_site_fract_x
_atom_site_fract_y
_atom_site_fract_z
Li1 0.0000 0.0000 0.0000
Li2 0.0000 0.1421 0.5000
Li3 0.0000 0.3131 0.0000
Li4 0.0000 0.4898 0.5000
Mn1 0.0000 0.6282 0.0000
Mn2 0.0000 0.8220 0.5000
O1 0.2037 0.6576 0.7652
O2 0.2336 0.9798 0.7475
F1 0.2295 0.3134 0.7477
```

Values from the calculation:
total magnetic moment = 4.00 μB/f.u.
energy relative to the elements, uncorrected = -2.469 eV/atom

---

What is the formula in the second record? ZnP2Ru